Record 1
Sc2PaZn6: optimized geometry, PBE-GGA.

```
Sc2PaZn6
1.0
3.142 0.080 -0.140
-0.342 6.728 -3.817
0.349 -0.049 7.736
Sc Zn Pa
2 6 1
Cartesian
3.260 2.291 3.746
-0.111 4.469 0.033
1.687 0.024 2.555
1.571 2.307 1.260
1.578 4.453 2.519
1.461 6.736 1.223
1.804 2.274 6.371
1.694 4.436 5.144
0.000 0.000 0.000
```

Output
For the volume, the calculation gives 18.2 Å³ per atom. The value obtained for the formation energy is -0.25 eV per atom. As for the space group: P6/mmm.


Record 2
Sc2PaZn: optimized geometry, PBE-GGA.

```
Sc2PaZn
1.0
-0.626 3.423 2.443
-4.354 0.096 -1.251
-1.062 -2.686 3.491
Sc Zn Pa
2 1 1
Cartesian
-0.531 -1.343 1.745
-2.177 0.048 -0.626
-0.313 1.711 1.221
-3.021 0.417 2.341
```

Output
For the volume, the calculation gives 21.8 Å³ per atom. The calculation puts the energy relative to the lowest polymorph listed for this composition at 212 meV/atom. The value obtained for the formation energy is 0.09 eV per atom. As for the space group: P4/mmm.


Which of these has the lowest formation energy? Sc2PaZn6